Record 1
A plane-wave DFT calculation with PBE was carried out for a geometry-optimized ScIr2RhC structure.

Summary:
* space-group type: P4/mmm, No. 123
* crystal system: tetragonal
* E_form: -0.35 eV/atom

Geometry as POSCAR:
```
ScIr2RhC
1.0
-3.1293 -2.5479 0.6195
2.1101 -3.0195 -1.7603
1.6116 -1.0653 3.7592
Ir Rh C Sc
2 1 1 1
Cartesian
1.0550 -1.5098 -0.8801
-1.5647 -1.2740 0.3097
0.8058 -0.5326 1.8796
0.0000 0.0000 0.0000
0.2962 -3.3164 1.3092
```

Record 2
A plane-wave DFT calculation with PBE was carried out for a geometry-optimized YAgIr2 structure.

Summary:
* space-group type: I4/mmm, No. 139
* crystal system: tetragonal
* E_form: -0.12 eV/atom

Geometry as POSCAR:
```
YAgIr2
1.0
5.1026 -0.0078 0.0000
1.7381 4.7975 0.0000
-3.4204 -2.3948 2.9330
Y Ag Ir
1 1 2
Cartesian
0.8691 2.3987 1.4665
2.5513 -0.0039 1.4665
3.4204 2.3948 0.0000
0.0000 0.0000 0.0000
```

Record 3
A plane-wave DFT calculation with PBE was carried out for a geometry-optimized Li2TlRu structure.

Summary:
* space-group type: I-42d, No. 122
* crystal system: tetragonal
* E_form: 0.39 eV/atom

Geometry as POSCAR:
```
Li2TlRu
1.0
7.1276 0.0000 0.0000
0.0000 7.1276 0.0000
3.5638 3.5638 2.6980
Ru Li Tl
2 4 2
Cartesian
3.5638 3.5638 0.0000
3.5638 7.1276 1.3490
5.3457 5.4649 2.0235
5.2265 1.7819 0.6745
8.9095 8.7903 2.0235
1.9011 5.3457 0.6745
7.1276 3.5638 1.3490
0.0000 0.0000 0.0000
```

no.,density of states at the Fermi level (states/eV/f.u.),energy (eV per atom),magnetization (μB/cell)
1,2.24,-8.48,0.00
2,3.88,-6.88,0.00
3,3.57,-3.48,1.40